Ho8SbRu2: optimized geometry, GGA-PBE.

**Uncorrected energy**: -5.738 eV/atom
**D(E_F)**: 19.12 states/eV per cell
**Size of the total moment**: 0.00 μB/cell
**Theoretical density**: 9.1 g/cm3

```
data_Ho8SbRu2
_symmetry_space_group_name_H-M 'C 1 2/m 1'
_symmetry_Int_Tables_number 12
_cell_length_a 8.589
_cell_length_b 12.955
_cell_length_c 5.545
_cell_angle_alpha 90.00
_cell_angle_beta 103.62
_cell_angle_gamma 90.00
loop_
_symmetry_equiv_pos_as_xyz
'x,y,z'
'-x,-y,-z'
'-x,y,-z'
'x,-y,z'
'x+1/2,y+1/2,z'
'-x+1/2,-y+1/2,-z'
'-x+1/2,y+1/2,-z'
'x+1/2,-y+1/2,z'
loop_
_atom_site_label
_atom_site_type_symbol
_atom_site_fract_x
_atom_site_fract_y
_atom_site_fract_z
Ho1 Ho 0.000 0.246 0.000
Ho2 Ho 0.113 0.500 0.796
Ho3 Ho 0.201 0.132 0.589
Sb1 Sb 0.000 0.000 0.000
Ru1 Ru 0.000 0.311 0.500
```